No. 1
A geometry-optimized BaPSeCl2 structure, computed with PBE-GGA.

Lattice parameters (Å, degrees): 5.4148 5.4148 4.7941 90.00 90.00 90.00
Fractional positions:
Ba1 0.0000 0.0000 0.0000
P1 0.5000 0.5000 0.0000
Se1 0.5000 0.5000 0.5000
Cl1 0.0000 0.5000 0.5000
Cl2 0.5000 0.0000 0.5000

Summary:
Energy relative to the elements, uncorrected   -653.5 meV/atom
Density of states at the Fermi level   2.41 states/eV/cell
Offset from the most stable computed form   0 meV per atom
Mass density   3.76 Mg/m³
Uncorrected energy   -3.5556 eV per atom

***

No. 2
A geometry-optimized PIrCl2 structure, computed with PBE-GGA.

Lattice parameters (Å, degrees): 3.1255 3.5710 16.6427 90.00 90.00 90.00
Fractional positions:
P1 0.0000 0.0000 0.0000
P2 0.5000 0.5000 0.5000
Ir1 0.0000 0.5000 0.0748
Ir2 0.5000 0.0000 0.5748
Cl1 0.0000 0.0000 0.1782
Cl2 0.0000 0.5000 0.3930
Cl3 0.5000 0.0000 0.8930
Cl4 0.5000 0.5000 0.6782

Summary:
Energy relative to the elements, uncorrected   -220.1 meV/atom
Density of states at the Fermi level   2.25 states/eV/cell
Offset from the most stable computed form   442 meV per atom
Mass density   5.26 Mg/m³
Uncorrected energy   -4.7111 eV per atom

***

No. 3
A geometry-optimized Sr3SF structure, computed with PBE-GGA.

Lattice parameters (Å, degrees): 5.2763 5.2763 5.2763 90.00 90.00 90.00
Fractional positions:
Sr1 0.0000 0.0000 0.5000
Sr2 0.0000 0.5000 0.0000
Sr3 0.5000 0.0000 0.0000
S1 0.5000 0.5000 0.5000
F1 0.0000 0.0000 0.0000

Summary:
Energy relative to the elements, uncorrected   -1133.0 meV/atom
Density of states at the Fermi level   4.64 states/eV/cell
Offset from the most stable computed form   0 meV per atom
Mass density   3.55 Mg/m³
Uncorrected energy   -3.3418 eV per atom

***

No. 4
A geometry-optimized MgNbRhO6 structure, computed with PBE-GGA.

Lattice parameters (Å, degrees): 4.7479 4.7479 9.2380 90.00 90.00 90.00
Fractional positions:
Mg1 0.0000 0.0000 0.0000
Mg2 0.5000 0.5000 0.5000
Nb1 0.0000 0.0000 0.6695
Nb2 0.5000 0.5000 0.1695
Rh1 0.0000 0.0000 0.3303
Rh2 0.5000 0.5000 0.8303
O1 0.1887 0.1887 0.4964
O2 0.1982 0.1982 0.1728
O3 0.2056 0.2056 0.8227
O4 0.2944 0.7056 0.3227
O5 0.3018 0.6982 0.6728
O6 0.3113 0.6887 0.9964
O7 0.6887 0.3113 0.9964
O8 0.6982 0.3018 0.6728
O9 0.7056 0.2944 0.3227
O10 0.7944 0.7944 0.8227
O11 0.8018 0.8018 0.1728
O12 0.8113 0.8113 0.4964

Summary:
Energy relative to the elements, uncorrected   -1757.1 meV/atom
Density of states at the Fermi level   11.20 states/eV/cell
Mass density   5.04 Mg/m³
Uncorrected energy   -7.1754 eV per atom

***

No. 5
A geometry-optimized EuZnBi structure, computed with PBE-GGA.

Lattice parameters (Å, degrees): 3.8144 3.8144 11.4971 90.00 90.00 90.00
Fractional positions:
Eu1 0.0000 0.0000 0.0000
Eu2 0.5000 0.5000 0.5000
Zn1 0.0000 0.0000 0.6686
Zn2 0.5000 0.5000 0.1686
Bi1 0.0000 0.0000 0.3014
Bi2 0.5000 0.5000 0.8014

Summary:
Density of states at the Fermi level   12.32 states/eV/cell
Formation energy from the elements   -0.342 eV per atom
Mass density   8.46 Mg/m³
Uncorrected energy   -5.4851 eV per atom

***

No. 6
A geometry-optimized PrSmC structure, computed with PBE-GGA.

Lattice parameters (Å, degrees): 6.3678 3.6728 6.6412 90.00 90.90 90.00
Fractional positions:
Pr1 0.0873 0.2500 0.2163
Pr2 0.9127 0.7500 0.7837
Sm1 0.4143 0.2500 0.7911
Sm2 0.5857 0.7500 0.2089
C1 0.2553 0.7500 0.9979
C2 0.7447 0.2500 0.0021

Summary:
Density of states at the Fermi level   4.30 states/eV/cell
Offset from the most stable computed form   4 meV per atom
Formation energy from the elements   -0.112 eV per atom
Mass density   6.49 Mg/m³
Uncorrected energy   -6.3524 eV per atom

***

No. 7
A geometry-optimized TlSe2Br structure, computed with PBE-GGA.

Lattice parameters (Å, degrees): 5.8017 13.5827 2.8497 90.00 90.00 90.00
Fractional positions:
Tl1 0.0000 0.0000 0.0000
Tl2 0.5000 0.5000 0.0000
Se1 0.2500 0.2500 0.5000
Se2 0.2500 0.7500 0.5000
Se3 0.7500 0.2500 0.5000
Se4 0.7500 0.7500 0.5000
Br1 0.0000 0.5000 0.0000
Br2 0.5000 0.0000 0.0000

Summary:
Energy relative to the elements, uncorrected   95.5 meV/atom
Density of states at the Fermi level   4.40 states/eV/cell
Offset from the most stable computed form   371 meV per atom
Mass density   6.54 Mg/m³
Uncorrected energy   -2.6565 eV per atom

***

No. 8
A geometry-optimized HfTiCoPt2 structure, computed with PBE-GGA.

Lattice parameters (Å, degrees): 4.6131 4.6131 4.8609 90.00 90.00 90.00
Fractional positions:
Hf1 0.0000 0.0000 0.0000
Ti1 0.0000 0.0000 0.5000
Co1 0.5000 0.5000 0.0000
Pt1 0.0000 0.5000 0.5000
Pt2 0.5000 0.0000 0.5000

Summary:
Density of states at the Fermi level   4.56 states/eV/cell
Formation energy from the elements   0.895 eV per atom
Mass density   10.84 Mg/m³
Uncorrected energy   -6.5121 eV per atom

***

No. 9
A geometry-optimized LiZnGeO structure, computed with PBE-GGA.

Lattice parameters (Å, degrees): 5.1265 3.2249 7.7520 90.00 106.32 90.00
Fractional positions:
Li1 0.0000 0.0000 0.0000
Li2 0.5000 0.5000 0.0000
Zn1 0.2007 0.0000 0.6439
Zn2 0.7007 0.5000 0.6439
Ge1 0.4877 0.0000 0.3236
Ge2 0.9877 0.5000 0.3236
O1 0.3830 0.0000 0.0832
O2 0.8830 0.5000 0.0832

Summary:
Energy relative to the elements, uncorrected   -804.6 meV/atom
Density of states at the Fermi level   0.64 states/eV/cell
Offset from the most stable computed form   75 meV per atom
Mass density   4.35 Mg/m³
Uncorrected energy   -3.9954 eV per atom

***

No. 10
A geometry-optimized InRu3 structure, computed with PBE-GGA.

Lattice parameters (Å, degrees): 5.0110 5.0110 5.0110 90.00 90.00 90.00
Fractional positions:
In1 0.0000 0.0000 0.0000
In2 0.5000 0.5000 0.5000
Ru1 0.0000 0.2500 0.5000
Ru2 0.0000 0.7500 0.5000
Ru3 0.2500 0.5000 0.0000
Ru4 0.5000 0.0000 0.2500
Ru5 0.5000 0.0000 0.7500
Ru6 0.7500 0.5000 0.0000

Summary:
Density of states at the Fermi level   12.13 states/eV/cell
Formation energy from the elements   0.435 eV per atom
Mass density   11.03 Mg/m³
Uncorrected energy   -7.2068 eV per atom

***

No. 11
A geometry-optimized CsSb structure, computed with PBE-GGA.

Lattice parameters (Å, degrees): 11.1963 11.1963 11.1963 90.00 90.00 90.00
Fractional positions:
Cs1 0.2070 0.2070 0.7930
Cs2 0.2070 0.7930 0.2070
Cs3 0.2930 0.2930 0.2930
Cs4 0.2930 0.7070 0.7070
Cs5 0.7070 0.2930 0.7070
Cs6 0.7070 0.7070 0.2930
Cs7 0.7930 0.2070 0.2070
Cs8 0.7930 0.7930 0.7930
Sb1 0.0974 0.0974 0.0974
Sb2 0.0974 0.9026 0.9026
Sb3 0.4026 0.4026 0.5974
Sb4 0.4026 0.5974 0.4026
Sb5 0.5974 0.4026 0.4026
Sb6 0.5974 0.5974 0.5974
Sb7 0.9026 0.0974 0.9026
Sb8 0.9026 0.9026 0.0974

Summary:
Energy relative to the elements, uncorrected   -34.2 meV/atom
Density of states at the Fermi level   25.03 states/eV/cell
Offset from the most stable computed form   430 meV per atom
Mass density   2.41 Mg/m³
Uncorrected energy   -2.5222 eV per atom

***

No. 12
A geometry-optimized SrMgTl2 structure, computed with PBE-GGA.

Lattice parameters (Å, degrees): 4.0839 4.0839 7.4540 90.00 90.00 90.00
Fractional positions:
Sr1 0.0000 0.0000 0.0000
Mg1 0.5000 0.5000 0.6939
Tl1 0.0000 0.0000 0.5150
Tl2 0.5000 0.5000 0.2695

Summary:
Density of states at the Fermi level   1.93 states/eV/cell
Offset from the most stable computed form   121 meV per atom
Formation energy from the elements   -0.155 eV per atom
Mass density   6.95 Mg/m³
Uncorrected energy   -2.1568 eV per atom